# 1
# Rb2MgTiO, optimized geometry, DFT GGA-PBE
# Calculated total energy   -3.200 eV per atom
# Formation energy from raw total energies   0.076 eV per atom
# Theoretical density   2150 kg/m³
data_Rb2MgTiO
_chemical_formula_sum 'Rb2 Mg1 Ti1 O1'
_cell_length_a 7.409
_cell_length_b 7.409
_cell_length_c 3.645
_cell_angle_alpha 90.00
_cell_angle_beta 90.00
_cell_angle_gamma 90.00
_symmetry_space_group_name_H-M 'P 4/m m m'
_symmetry_Int_Tables_number 123
_symmetry_space_group_name_Hall '-P 4 2'
loop_
_atom_site_label
_atom_site_type_symbol
_atom_site_fract_x
_atom_site_fract_y
_atom_site_fract_z
_atom_site_occupancy
Rb1 Rb 0.000 0.500 0.000 1
Mg1 Mg 0.000 0.000 0.000 1
Ti1 Ti 0.500 0.500 0.500 1
O1 O 0.000 0.000 0.500 1


# 2
# RbMgTlO3, optimized geometry, DFT GGA-PBE
# Calculated total energy   -4.741 eV per atom
# Formation energy from raw total energies   -1.440 eV per atom
# Theoretical density   5081 kg/m³
data_RbMgTlO3
_chemical_formula_sum 'Rb2 Mg2 Tl2 O6'
_cell_length_a 7.500
_cell_length_b 3.434
_cell_length_c 9.445
_cell_angle_alpha 90.00
_cell_angle_beta 103.35
_cell_angle_gamma 90.00
_symmetry_space_group_name_H-M 'P 1 21/m 1'
_symmetry_Int_Tables_number 11
loop_
_symmetry_equiv_pos_as_xyz
'x,y,z'
'-x,-y,-z'
'-x,y+1/2,-z'
'x,-y+1/2,z'
loop_
_atom_site_label
_atom_site_type_symbol
_atom_site_fract_x
_atom_site_fract_y
_atom_site_fract_z
_atom_site_occupancy
Rb1 Rb 0.214 0.250 0.256 1
Mg1 Mg 0.117 0.250 0.590 1
Tl1 Tl 0.345 0.750 0.875 1
O1 O 0.149 0.250 0.807 1
O2 O 0.161 0.750 0.504 1
O3 O 0.444 0.750 0.123 1